[1]
KC2Cl: optimized geometry, PBE.

## Properties
The total energy comes out at -41.3 eV/cell. The crystal system is cubic. The calculation puts the relative energy among the computed polymorphs at 0.384 eV/atom.

abc: 6.952 6.952 6.952
angles: 90.00 90.00 90.00
Space group Fm-3m (No. 225)
Unique sites:
K 0.000 0.000 0.000 (multiplicity 4)
C 0.250 0.250 0.250 (multiplicity 8)
Cl 0.000 0.000 0.500 (multiplicity 4)


[2]
KC3Cl: optimized geometry, PBE.

## Properties
The total energy comes out at -10.4 eV/cell. The crystal system is cubic. The calculation puts the relative energy among the computed polymorphs at 0.761 eV/atom.

abc: 5.512 5.512 5.512
angles: 90.00 90.00 90.00
Space group Pm-3m (No. 221)
Unique sites:
K 0.000 0.000 0.000 (multiplicity 1)
C 0.000 0.000 0.500 (multiplicity 3)
Cl 0.500 0.500 0.500 (multiplicity 1)


[3]
KC2Cl: optimized geometry, PBE.

## Properties
The total energy comes out at -47.4 eV/cell. The crystal system is tetragonal. The calculation puts the relative energy among the computed polymorphs at 0.000 eV/atom.

abc: 6.261 6.261 6.923
angles: 90.00 90.00 90.00
Space group I-42d (No. 122)
Unique sites:
K 0.000 0.000 0.000 (multiplicity 4)
C 0.133 0.750 0.625 (multiplicity 8)
Cl 0.000 0.000 0.500 (multiplicity 4)


| no. | total moment (μB/f.u.) |
| --- | --- |
| 1 | 4.00 |
| 2 | 6.00 |
| 3 | 0.00 |